Version w
3
Lattice="-1.902 -0.484 2.522 -2.970 -1.101 -0.426 0.057 -5.207 1.069" Properties=species:S:1:pos:R:3 comment="PBE HfVB, relaxed" magnetic_moment_mub_per_cell=0.0 pbc="T T T"
B -0.536 -3.559 0.938
Hf -1.619 -5.593 1.756
V -2.531 -3.053 1.555

Version x
6
Lattice="-2.029 -0.139 -2.646 1.829 -3.062 -3.346 -2.941 -4.695 0.398" Properties=species:S:1:pos:R:3 comment="PBE HfVB, relaxed" magnetic_moment_mub_per_cell=0.0 pbc="T T T"
Hf -1.305 -4.222 -5.091
Hf -1.836 -3.674 -0.503
B -1.511 -3.023 -2.891
B -1.630 -4.873 -2.703
V -0.291 -1.411 -1.807
V -2.851 -6.485 -3.787

version x is favored, and the nearest alternative lies 61.1 kJ/mol of atoms above it.

Version w
5
Lattice="-1.428 -2.024 3.242 3.463 -2.148 0.185 1.615 2.817 2.470" Properties=species:S:1:pos:R:3 comment="PBE HfB3W, relaxed" magnetic_moment_mub_per_cell=0.0 pbc="T T T"
B 0.807 1.408 1.235
B 1.732 -1.074 0.093
B -0.714 -1.012 1.621
W 0.000 0.000 0.000
Hf 1.825 -0.677 2.948

Version x
5
Lattice="-1.638 0.605 3.721 -2.497 -3.213 -0.577 2.824 -2.490 1.648" Properties=species:S:1:pos:R:3 comment="PBE HfB3W, relaxed" magnetic_moment_mub_per_cell=0.0 pbc="T T T"
Hf 0.000 0.000 0.000
W -0.655 -2.549 2.396
B 1.412 -1.245 0.824
B -0.819 0.302 1.860
B -1.248 -1.607 -0.288

version w is favored, and the nearest alternative lies 130.6 kJ/mol of atoms above it.

Version w
5
Lattice="5.120 0.000 0.000 0.000 5.120 0.000 0.000 0.000 5.120" Properties=species:S:1:pos:R:3 comment="PBE YHf3B, relaxed" magnetic_moment_mub_per_cell=0.0 pbc="T T T"
Hf 0.000 2.560 0.000
Hf 0.000 0.000 2.560
Hf 2.560 0.000 0.000
Y 0.000 0.000 0.000
B 2.560 2.560 2.560

Version x
5
Lattice="-0.717 -1.033 4.584 0.395 -4.634 -0.983 4.683 0.232 0.785" Properties=species:S:1:pos:R:3 comment="PBE YHf3B, relaxed" magnetic_moment_mub_per_cell=1.7 pbc="T T T"
Hf -0.358 -0.517 2.292
Hf 2.341 0.116 0.392
Hf 0.197 -2.317 -0.491
Y 2.180 -2.718 2.193
B 0.000 0.000 0.000

version x is favored, and the nearest alternative lies 242.5 kJ/mol of atoms above it.

Version w
8
Lattice="6.787 0.000 0.000 0.000 6.787 0.000 3.393 3.393 3.022" Properties=species:S:1:pos:R:3 comment="PBE Hf2ZnB, relaxed" magnetic_moment_mub_per_cell=0.0 pbc="T T T"
Hf 2.024 5.090 0.755
Hf 8.483 8.156 2.266
Hf 5.090 5.418 2.266
Hf 4.762 1.697 0.755
B 3.393 3.393 0.000
B 3.393 6.787 1.511
Zn 0.000 0.000 0.000
Zn 6.787 3.393 1.511

Version x
4
Lattice="3.421 0.000 0.000 1.711 2.963 0.000 1.711 0.988 6.809" Properties=species:S:1:pos:R:3 comment="PBE Hf2ZnB, relaxed" magnetic_moment_mub_per_cell=0.0 pbc="T T T"
Hf 5.132 2.963 5.525
Hf 1.711 0.988 1.284
Zn 3.421 1.975 3.404
B 0.000 0.000 0.000

version x is favored, and the nearest alternative lies 42.3 kJ/mol of atoms above it.

Version w
5
Lattice="5.258 0.000 0.000 0.000 5.258 0.000 0.000 0.000 5.258" Properties=species:S:1:pos:R:3 comment="PBE HfZn3B, relaxed" magnetic_moment_mub_per_cell=1.4 pbc="T T T"
Zn 0.000 0.000 2.629
Zn 0.000 2.629 0.000
Zn 2.629 0.000 0.000
Hf 0.000 0.000 0.000
B 2.629 2.629 2.629

Version x
5
Lattice="-0.692 3.687 -1.897 1.077 -1.697 -3.692 -4.004 -1.094 -0.666" Properties=species:S:1:pos:R:3 comment="PBE HfZn3B, relaxed" magnetic_moment_mub_per_cell=0.0 pbc="T T T"
Zn 0.539 -0.849 -1.846
Zn -0.346 1.844 -0.948
Zn -2.002 -0.547 -0.333
B 0.000 0.000 0.000
Hf -1.809 0.448 -3.127

version x is favored, and the nearest alternative lies 142.7 kJ/mol of atoms above it.

Version w
5
Lattice="-0.224 -2.874 3.084 3.188 1.905 2.007 -2.758 2.436 2.070" Properties=species:S:1:pos:R:3 comment="PBE HfZrB3, relaxed" magnetic_moment_mub_per_cell=0.0 pbc="T T T"
Hf 0.000 0.000 0.000
Zr 0.103 0.733 3.580
B 1.594 0.952 1.004
B -0.112 -1.437 1.542
B -1.379 1.218 1.035

Version x
5
Lattice="4.207 0.000 0.000 0.000 4.207 0.000 0.000 0.000 4.207" Properties=species:S:1:pos:R:3 comment="PBE HfZrB3, relaxed" magnetic_moment_mub_per_cell=0.0 pbc="T T T"
B 0.000 0.000 2.104
B 0.000 2.104 0.000
B 2.104 0.000 0.000
Hf 2.104 2.104 2.104
Zr 0.000 0.000 0.000

version w is favored, and the nearest alternative lies 15.1 kJ/mol of atoms above it.

Version w
5
Lattice="-0.374 -2.377 3.995 4.101 1.717 1.405 -2.187 3.626 1.953" Properties=species:S:1:pos:R:3 comment="PBE Hf3ZrB, relaxed" magnetic_moment_mub_per_cell=2.3 pbc="T T T"
B 0.000 0.000 0.000
Hf -1.093 1.813 0.976
Hf 2.051 0.858 0.703
Hf -0.187 -1.188 1.997
Zr 0.770 1.483 3.676

Version x
5
Lattice="5.065 0.000 0.000 0.000 5.065 0.000 0.000 0.000 5.065" Properties=species:S:1:pos:R:3 comment="PBE Hf3ZrB, relaxed" magnetic_moment_mub_per_cell=0.0 pbc="T T T"
Hf 2.532 0.000 0.000
Hf 0.000 0.000 2.532
Hf 0.000 2.532 0.000
B 2.532 2.532 2.532
Zr 0.000 0.000 0.000

version w is favored, and the nearest alternative lies 208.6 kJ/mol of atoms above it.

Version w
4
Lattice="-2.234 2.294 3.531 -1.918 4.293 -0.785 -4.738 0.510 -0.112" Properties=species:S:1:pos:R:3 comment="PBE HgB2I, relaxed" magnetic_moment_mub_per_cell=0.0 pbc="T T T"
B -6.668 5.323 1.976
B -2.223 1.774 0.659
Hg -4.445 3.548 1.317
I 0.000 0.000 0.000

Version x
8
Lattice="5.494 0.000 0.000 0.000 5.494 0.000 2.747 2.747 5.425" Properties=species:S:1:pos:R:3 comment="PBE HgB2I, relaxed" magnetic_moment_mub_per_cell=0.0 pbc="T T T"
B 4.292 1.373 1.356
B 6.867 7.039 4.069
B 4.120 3.949 4.069
B 1.202 4.120 1.356
I 2.747 2.747 0.000
I 2.747 5.494 2.713
Hg 5.494 2.747 2.713
Hg 0.000 0.000 0.000

version x is favored, and the nearest alternative lies 57.7 kJ/mol of atoms above it.

Version w
5
Lattice="6.599 0.000 0.000 0.000 6.599 0.000 0.000 0.000 6.599" Properties=species:S:1:pos:R:3 comment="PBE Hg3BI, relaxed" magnetic_moment_mub_per_cell=0.0 pbc="T T T"
Hg 3.300 0.000 0.000
Hg 0.000 0.000 3.300
Hg 0.000 3.300 0.000
I 0.000 0.000 0.000
B 3.300 3.300 3.300

Version x
5
Lattice="4.919 0.000 0.000 0.000 4.919 0.000 0.000 0.000 4.919" Properties=species:S:1:pos:R:3 comment="PBE Hg3BI, relaxed" magnetic_moment_mub_per_cell=0.0 pbc="T T T"
Hg 0.000 2.459 0.000
Hg 2.459 0.000 0.000
Hg 0.000 0.000 2.459
B 0.000 0.000 0.000
I 2.459 2.459 2.459

version x is favored, and the nearest alternative lies 98.2 kJ/mol of atoms above it.

Version w
5
Lattice="-1.355 2.335 -3.608 2.617 -2.553 -2.635 -3.409 -2.888 -0.588" Properties=species:S:1:pos:R:3 comment="PBE HgB3I, relaxed" magnetic_moment_mub_per_cell=0.0 pbc="T T T"
I 0.000 0.000 0.000
B -1.705 -1.444 -0.294
B -0.678 1.167 -1.804
B 1.308 -1.276 -1.317
Hg -1.074 -1.553 -3.415

Version x
5
Lattice="-0.437 -1.043 4.447 -3.246 -3.072 -1.040 3.213 -3.245 -0.445" Properties=species:S:1:pos:R:3 comment="PBE HgB3I, relaxed" magnetic_moment_mub_per_cell=0.0 pbc="T T T"
B -0.219 -0.522 2.223
B -1.623 -1.536 -0.520
B 1.607 -1.623 -0.223
Hg 0.000 0.000 0.000
I -0.235 -3.680 1.481

version x is favored, and the nearest alternative lies 38.6 kJ/mol of atoms above it.

Version w
5
Lattice="-6.793 -3.056 -2.114 3.009 -1.940 -6.866 0.776 -2.435 1.028" Properties=species:S:1:pos:R:3 comment="PBE HgBI2N, relaxed" magnetic_moment_mub_per_cell=0.0 pbc="T T T"
I -3.397 -1.528 -1.057
I 1.505 -0.970 -3.433
Hg -1.504 -3.716 -3.976
N 0.388 -1.217 0.514
B 0.000 0.000 0.000

Version x
5
Lattice="6.137 0.000 0.000 0.000 6.137 0.000 0.000 0.000 4.173" Properties=species:S:1:pos:R:3 comment="PBE HgBI2N, relaxed" magnetic_moment_mub_per_cell=1.9 pbc="T T T"
N 0.000 0.000 2.087
Hg 0.000 0.000 0.000
B 3.068 3.068 2.087
I 3.068 0.000 0.000
I 0.000 3.068 0.000

version w is favored, and the nearest alternative lies 175.0 kJ/mol of atoms above it.

Version w
5
Lattice="-0.912 -3.755 -6.640 3.904 -3.488 1.436 -5.260 -4.534 3.287" Properties=species:S:1:pos:R:3 comment="PBE NbHg2BI, relaxed" magnetic_moment_mub_per_cell=5.0 pbc="T T T"
Nb 1.952 -1.744 0.718
B -1.134 -5.889 -0.959
Hg -2.630 -2.267 1.643
Hg -0.456 -1.877 -3.320
I 0.000 0.000 0.000

Version x
5
Lattice="-0.312 -3.708 -4.922 4.157 0.331 -0.513 0.841 -4.908 3.644" Properties=species:S:1:pos:R:3 comment="PBE NbHg2BI, relaxed" magnetic_moment_mub_per_cell=3.5 pbc="T T T"
I 0.000 0.000 0.000
B 2.079 0.166 -0.256
Hg -0.156 -1.854 -2.461
Hg 0.420 -2.454 1.822
Nb 2.343 -4.142 -0.895

version x is favored, and the nearest alternative lies 4.0 kJ/mol of atoms above it.